DFT (PBE-GGA) results for a relaxed AlGaBi crystal.

For the formation energy, the calculation gives 0.10 eV per atom. The total magnetic moment comes out at 0.00 μB per formula unit. The calculation puts the distance to the lowest polymorph of the same formula at 2 meV per atom. The calculated density comes out at 7.03 Mg/m³.

The structure belongs to space group P-1 (No. 2); the cell edges are 4.512, 5.110 and 6.588 Å and the angles 89.14°, 72.43° and 85.89°. Symmetry generates all atoms from Al at (0.202, 0.099, 0.103), Ga at (0.309, 0.604, 0.895) and Bi at (0.235, 0.235, 0.540).



DFT (PBE-GGA) results for a relaxed RbCuW crystal.

For the formation energy, the calculation gives 0.97 eV per atom. The total magnetic moment comes out at 0.00 μB per formula unit. The calculation puts the distance to the lowest polymorph of the same formula at 272 meV per atom. The calculated density comes out at 6.93 Mg/m³.

The structure belongs to space group Cmcm (No. 63); the cell edges are 4.714, 13.664 and 4.952 Å and the angles 90.00°, 90.00° and 90.00°. Symmetry generates all atoms from Rb at (0.000, 0.216, 0.250), Cu at (0.000, 0.000, 0.000) and W at (0.000, 0.498, 0.250).



What electronic total energy values result from the calculations? In sequence: -3.45; -5.04 eV/atom.